No. 1
## ScBe2Rh (SCAN)

Data for ScBe2Rh at its PBEsol-relaxed geometry.

The space group is P4mm (No. 99) and the conventional cell measures 2.922, 2.922 and 6.042 Å, with angles of 90.00, 90.00 and 90.00 degrees. The asymmetric unit holds Sc at (0.000, 0.000, 0.000), Be at (0.000, 0.000, 0.507), Be at (0.500, 0.500, 0.321) and Rh at (0.500, 0.500, 0.704).

The value obtained for the density of states at the Fermi level is 2.1 states/eV/f.u. The formation energy comes out at -0.411 eV per atom. As for the relative energy among the computed polymorphs: 0.0979 eV per atom. For the energy, the calculation gives -1.0723 Ry per atom. Its total magnetic moment is 0.1 μB per formula unit.



No. 2
## ScBeRh2 (SCAN)

Data for ScBeRh2 at its PBEsol-relaxed geometry.

The space group is Imm2 (No. 44) and the conventional cell measures 3.041, 4.029 and 8.836 Å, with angles of 90.00, 90.00 and 90.00 degrees. The asymmetric unit holds Sc at (0.000, 0.000, 0.000), Be at (0.000, 0.500, 0.767), Rh at (0.000, 0.000, 0.477) and Rh at (0.000, 0.500, 0.238).

The value obtained for the density of states at the Fermi level is 3.2 states/eV/f.u. The formation energy comes out at -0.659 eV per atom. For the energy, the calculation gives -1.6311 Ry per atom. Its total magnetic moment is 0.0 μB per formula unit.



No. 3
## ScBe2Rh (SCAN)

Data for ScBe2Rh at its PBEsol-relaxed geometry.

The space group is Fm-3m (No. 225) and the conventional cell measures 5.797, 5.797 and 5.797 Å, with angles of 90.00, 90.00 and 90.00 degrees. The asymmetric unit holds Sc at (0.000, 0.000, 0.000), Be at (0.250, 0.250, 0.250) and Rh at (0.000, 0.000, 0.500).

The value obtained for the density of states at the Fermi level is 2.5 states/eV/f.u. The formation energy comes out at -0.509 eV per atom. As for the relative energy among the computed polymorphs: 0.0000 eV per atom. For the energy, the calculation gives -1.0795 Ry per atom. Its total magnetic moment is 0.0 μB per formula unit.



- The lowest energy belongs to which entry?
  ScBeRh2